Here is a geometry-optimized KFe2F7 structure from Alexandria via LeMat-Bulk. Energies are from GGA+U.

Output
electronic total energy = -5.068 eV/atom

Cell lengths 6.175, 6.175, 3.935 Å; angles 90.00, 90.00, 117.84 degrees
Fractional coordinates of all 10 atoms:
K1 0.000 0.000 0.000
Fe1 0.309 0.691 0.500
Fe2 0.691 0.309 0.500
F1 0.044 0.336 0.500
F2 0.301 0.699 0.000
F3 0.336 0.044 0.500
F4 0.500 0.500 0.500
F5 0.664 0.956 0.500
F6 0.699 0.301 0.000
F7 0.956 0.664 0.500